1) # ZnFeF5

An optimized crystal structure of ZnFeF5 (GGA+U, Alexandria via LeMat-Bulk).

Values from the calculation:
Spin magnetization (μB/cell): 20.00
DOS(E_F) (states/eV/atom): 0.00

a b c (Å): 5.278 9.905 7.661
angles (deg): 90.00 107.70 90.00
Space group P2_1/c (No. 14)
Unique sites:
Zn: 0.015 0.009 0.288
Fe: 0.425 0.242 0.131
F: 0.134 0.116 0.108
F: 0.162 0.108 0.536
F: 0.279 0.634 0.832
F: 0.334 0.594 0.285
F: 0.397 0.208 0.874


2) # ZnFeF5

An optimized crystal structure of ZnFeF5 (GGA+U, Alexandria via LeMat-Bulk).

Values from the calculation:
Spin magnetization (μB/cell): 20.00
DOS(E_F) (states/eV/atom): 0.00

a b c (Å): 8.562 6.313 7.609
angles (deg): 90.00 116.60 90.00
Space group C2/c (No. 15)
Unique sites:
Zn: 0.000 0.015 0.250
Fe: 0.000 0.500 0.000
F: 0.000 0.401 0.250
F: 0.028 0.202 0.961
F: 0.249 0.452 0.637


3) # ZnFeF5

An optimized crystal structure of ZnFeF5 (GGA+U, Alexandria via LeMat-Bulk).

Values from the calculation:
Spin magnetization (μB/cell): 9.98
DOS(E_F) (states/eV/atom): 0.00

a b c (Å): 3.639 6.719 7.994
angles (deg): 90.00 90.00 90.00
Space group Immm (No. 71)
Unique sites:
Zn: 0.000 0.000 0.000
Fe: 0.000 0.000 0.500
F: 0.000 0.000 0.270
F: 0.000 0.321 0.000
F: 0.000 0.500 0.500


Result of the stability comparison: 3) is the least stable of them.


1) # Zn3FeF

An optimized crystal structure of Zn3FeF (GGA+U, Alexandria via LeMat-Bulk).

Values from the calculation:
Spin magnetization (μB/cell): 2.81
DOS(E_F) (states/eV/atom): 0.68

a b c (Å): 4.310 4.310 4.310
angles (deg): 90.00 90.00 90.00
Space group Pm-3m (No. 221)
Unique sites:
Zn: 0.000 0.000 0.500
Fe: 0.500 0.500 0.500
F: 0.000 0.000 0.000


2) # Zn3FeF

An optimized crystal structure of Zn3FeF (GGA+U, Alexandria via LeMat-Bulk).

Values from the calculation:
Spin magnetization (μB/cell): 3.28
DOS(E_F) (states/eV/atom): 0.24

a b c (Å): 4.834 4.834 4.834
angles (deg): 90.00 90.00 90.00
Space group Pm-3m (No. 221)
Unique sites:
Zn: 0.000 0.000 0.500
Fe: 0.000 0.000 0.000
F: 0.500 0.500 0.500


Result of the stability comparison: 2) is the least stable of them.


1) # ZnFe2F8

An optimized crystal structure of ZnFe2F8 (GGA+U, Alexandria via LeMat-Bulk).

Values from the calculation:
Spin magnetization (μB/cell): 19.99
DOS(E_F) (states/eV/atom): 0.00

a b c (Å): 8.274 6.436 5.084
angles (deg): 90.00 102.96 90.00
Space group C2/m (No. 12)
Unique sites:
Zn: 0.000 0.000 0.000
Fe: 0.183 0.500 0.442
F: 0.062 0.500 0.738
F: 0.143 0.193 0.311
F: 0.179 0.000 0.811


2) # ZnFe2F8

An optimized crystal structure of ZnFe2F8 (GGA+U, Alexandria via LeMat-Bulk).

Values from the calculation:
Spin magnetization (μB/cell): 20.00
DOS(E_F) (states/eV/atom): 0.00

a b c (Å): 9.716 6.792 4.169
angles (deg): 90.00 90.33 90.00
Space group C2/m (No. 12)
Unique sites:
Zn: 0.000 0.000 0.000
Fe: 0.130 0.500 0.252
F: 0.091 0.500 0.745
F: 0.104 0.225 0.234
F: 0.179 0.000 0.739


Result of the stability comparison: 2) is the least stable of them.


1) # ZnFeF4

An optimized crystal structure of ZnFeF4 (GGA+U, Alexandria via LeMat-Bulk).

Values from the calculation:
Spin magnetization (μB/cell): 8.00
DOS(E_F) (states/eV/atom): 0.00

a b c (Å): 6.776 6.788 3.252
angles (deg): 90.00 90.00 90.00
Space group Cmmm (No. 65)
Unique sites:
Zn: 0.000 0.000 0.000
Fe: 0.000 0.500 0.500
F: 0.000 0.197 0.500
F: 0.201 0.500 0.000


2) # ZnFeF4

An optimized crystal structure of ZnFeF4 (GGA+U, Alexandria via LeMat-Bulk).

Values from the calculation:
Spin magnetization (μB/cell): 16.00
DOS(E_F) (states/eV/atom): 0.00

a b c (Å): 5.068 5.316 10.389
angles (deg): 90.00 90.00 90.00
Space group Ibam (No. 72)
Unique sites:
Zn: 0.000 0.000 0.250
Fe: 0.000 0.500 0.000
F: 0.239 0.180 0.126


Result of the stability comparison: 2) is the least stable of them.


1) # ZrFeF2

An optimized crystal structure of ZrFeF2 (GGA+U, Alexandria via LeMat-Bulk).

Values from the calculation:
Spin magnetization (μB/cell): 6.63
DOS(E_F) (states/eV/atom): 0.49

a b c (Å): 5.220 5.220 9.963
angles (deg): 90.00 90.00 90.00
Space group I-42d (No. 122)
Unique sites:
Zr: 0.000 0.000 0.000
Fe: 0.000 0.000 0.500
F: 0.230 0.250 0.625


2) # ZrFeF2

An optimized crystal structure of ZrFeF2 (GGA+U, Alexandria via LeMat-Bulk).

Values from the calculation:
Spin magnetization (μB/cell): 12.17
DOS(E_F) (states/eV/atom): 0.77

a b c (Å): 3.2418 3.2418 20.9122
angles (deg): 90.00 90.00 120.00
Space group R-3m (No. 166, hexagonal axes)
Unique sites:
Zr: 0.0000 0.0000 0.0000
Fe: 0.0000 0.0000 0.5000
F: 0.0000 0.0000 0.1179


Result of the stability comparison: 1) is the least stable of them.


1) # ZrFeF2

An optimized crystal structure of ZrFeF2 (GGA+U, Alexandria via LeMat-Bulk).

Values from the calculation:
Spin magnetization (μB/cell): 8.02
DOS(E_F) (states/eV/atom): 0.36

a b c (Å): 6.033 6.033 6.033
angles (deg): 90.00 90.00 90.00
Space group Fm-3m (No. 225)
Unique sites:
Zr: 0.000 0.000 0.000
Fe: 0.000 0.000 0.500
F: 0.250 0.250 0.250


2) # ZrFeF2

An optimized crystal structure of ZrFeF2 (GGA+U, Alexandria via LeMat-Bulk).

Values from the calculation:
Spin magnetization (μB/cell): 10.72
DOS(E_F) (states/eV/atom): 0.51

a b c (Å): 2.9250 2.9250 24.2822
angles (deg): 90.00 90.00 120.00
Space group R-3m (No. 166, hexagonal axes)
Unique sites:
Zr: 0.0000 0.0000 0.0000
Fe: 0.0000 0.0000 0.5000
F: 0.0000 0.0000 0.3992


Result of the stability comparison: 1) is the least stable of them.